Ce7Si5Hg | PBE | relaxed

Output
symmetry	Imm2, No. 44
E	-74.2	eV per cell
density	6953	kg/m3
formation energy from raw total energies	-0.40	eV/atom
DOS(E_F)	30.06	states/eV/f.u.
total magnetic moment	4.156	μB per cell

Cell lengths 5.951, 7.872, 7.872 Å; angles 84.30, 67.79, 67.79 degrees
Site moments in Bohr magnetons follow the coordinates.
Fractional coordinates of all 13 atoms:
Ce (0.676, 0.324, 0.324)  0.83
Ce (0.975, 0.341, 0.708)  0.46
Ce (0.310, 0.190, 0.190)  0.44
Ce (0.524, 0.808, 0.144)  0.26
Ce (0.298, 0.702, 0.702)  0.50
Ce (0.975, 0.708, 0.341)  0.46
Ce (0.524, 0.144, 0.808)  0.26
Si (0.759, 0.741, 0.741)  0.00
Si (0.451, 0.014, 0.501)  -0.01
Si (0.451, 0.501, 0.014)  -0.01
Si (0.033, 0.501, 0.014)  -0.01
Si (0.033, 0.014, 0.501)  -0.01
Hg (0.989, 0.011, 0.011)  0.01